Record 1
DFT (PBE-GGA) results for a relaxed structure of PmNd3Se6.

## Properties
As for the space group: P2_1/m, No. 11. The calculation puts the uncorrected energy at -5.86 eV/atom. The uncorrected formation energy comes out at -180.27 kJ/mol of atoms. As for the relative energy among the computed polymorphs: 0 meV/atom.

Lattice parameters (Å, degrees): 11.8685 4.2445 12.1988 90.00 108.63 90.00
With the nearest neighbours (Å) after each atom.
Positions (direct):
1 Pm 0.0433 0.2500 0.1897  8 Se 3.02-3.24
2 Pm 0.9567 0.7500 0.8103  8 Se 3.02-3.24
3 Nd 0.1597 0.2500 0.5824  6 Se 2.89-3.01
4 Nd 0.3176 0.7500 0.9968  7 Se 2.91-3.18
5 Nd 0.4293 0.2500 0.3312  6 Se 2.89-3.00
6 Nd 0.5707 0.7500 0.6688  6 Se 2.89-3.00
7 Nd 0.6824 0.2500 0.0032  7 Se 2.91-3.18
8 Nd 0.8403 0.7500 0.4176  6 Se 2.89-3.01
9 Se 0.0837 0.7500 0.3990  3 Nd 2.97-3.01, 2 Pm 3.24
10 Se 0.1103 0.2500 0.9636  3 Pm 3.02-3.11, 2 Nd 3.18
11 Se 0.1886 0.7500 0.7500  3 Nd 2.89-2.91, 1 Pm 3.07
12 Se 0.2499 0.7500 0.2212  3 Nd 3.00-3.09, 2 Pm 3.17
13 Se 0.3993 0.2500 0.5649  4 Nd 2.92-2.98
14 Se 0.4809 0.2500 0.1148  4 Nd 2.89-3.11
15 Se 0.5191 0.7500 0.8852  4 Nd 2.89-3.11
16 Se 0.6007 0.7500 0.4351  4 Nd 2.92-2.98
17 Se 0.7501 0.2500 0.7788  3 Nd 3.00-3.09, 2 Pm 3.17
18 Se 0.8114 0.2500 0.2500  3 Nd 2.89-2.91, 1 Pm 3.07
19 Se 0.8897 0.7500 0.0364  3 Pm 3.02-3.11, 2 Nd 3.18
20 Se 0.9163 0.2500 0.6010  3 Nd 2.97-3.01, 2 Pm 3.24



Record 2
DFT (PBE-GGA) results for a relaxed structure of Pm3Nd4Se8.

## Properties
As for the space group: C2/m, No. 12. As for the density of states at the Fermi level: 0.455 states/eV per atom. The calculation puts the uncorrected energy at -5.95 eV/atom. The uncorrected formation energy comes out at -180.88 kJ/mol of atoms.

Lattice parameters (Å, degrees): 8.4021 8.4021 8.3996 119.98 119.98 90.01
With the nearest neighbours (Å) after each atom.
Positions (direct):
1 Pm 0.0000 0.0000 0.0000  6 Se 2.96
2 Pm 0.0000 0.5000 0.5000  6 Se 2.97
3 Pm 0.5000 0.0000 0.5000  6 Se 2.97
4 Nd 0.0000 0.0000 0.5000  6 Se 3.01
5 Nd 0.0000 0.5000 0.0000  6 Se 2.97
6 Nd 0.5000 0.0000 0.0000  6 Se 2.97
7 Nd 0.5000 0.5000 0.0000  6 Se 2.98
8 Se 0.2491 0.7509 0.0000  3 Pm 2.96-2.97, 3 Nd 2.97-2.98
9 Se 0.2526 0.2526 0.0072  1 Pm 2.96, 4 Nd 2.97-3.01
10 Se 0.2527 0.2527 0.4981  3 Pm 2.96-2.97, 2 Nd 2.98-3.01
11 Se 0.2536 0.7464 0.5000  2 Pm 2.97, 3 Nd 2.97-3.01
12 Se 0.7464 0.2536 0.5000  2 Pm 2.97, 3 Nd 2.97-3.01
13 Se 0.7473 0.7473 0.5019  3 Pm 2.96-2.97, 2 Nd 2.98-3.01
14 Se 0.7474 0.7474 0.9928  1 Pm 2.96, 4 Nd 2.97-3.01
15 Se 0.7509 0.2491 0.0000  3 Pm 2.96-2.97, 3 Nd 2.97-2.98



Record 3
DFT (PBE-GGA) results for a relaxed structure of Pm2NdSe.

## Properties
As for the space group: R3m, No. 160. As for the density of states at the Fermi level: 1.022 states/eV per atom. The calculation puts the uncorrected energy at -5.25 eV/atom. The uncorrected formation energy comes out at -78.40 kJ/mol of atoms.

Lattice parameters (Å, degrees): 9.9353 9.9353 9.9353 22.75 22.75 22.75
With the nearest neighbours (Å) after each atom.
Positions (direct):
1 Pm 0.0000 0.0000 0.0000  3 Se 2.94
2 Pm 0.2041 0.2041 0.2041  3 Se 2.94
3 Nd 0.7691 0.7691 0.7691  6 Pm 3.72-3.74, 6 Nd 3.92
4 Se 0.6019 0.6019 0.6019  6 Pm 2.94



Record 4
DFT (PBE-GGA) results for a relaxed structure of Pm3Nd2Se6.

## Properties
As for the space group: C2/m, No. 12. As for the density of states at the Fermi level: 0.425 states/eV per atom. The calculation puts the uncorrected energy at -5.96 eV/atom. The uncorrected formation energy comes out at -182.63 kJ/mol of atoms.

Lattice parameters (Å, degrees): 7.2609 7.2609 7.2536 99.62 99.62 119.81
With the nearest neighbours (Å) after each atom.
Positions (direct):
1 Pm 0.0000 0.0000 0.0000  6 Se 2.95-3.02
2 Pm 0.3355 0.6645 0.0000  6 Se 2.94-3.00
3 Pm 0.6645 0.3355 0.0000  6 Se 2.94-3.00
4 Nd 0.1654 0.8346 0.5000  6 Se 2.96-2.99
5 Nd 0.8346 0.1654 0.5000  6 Se 2.96-2.99
6 Se 0.0866 0.4165 0.2491  3 Pm 2.95-3.00, 2 Nd 2.98-2.99
7 Se 0.2545 0.2545 0.7464  3 Pm 2.94-3.02, 2 Nd 2.96
8 Se 0.4165 0.0866 0.2491  3 Pm 2.95-3.00, 2 Nd 2.98-2.99
9 Se 0.5835 0.9134 0.7509  3 Pm 2.95-3.00, 2 Nd 2.98-2.99
10 Se 0.7455 0.7455 0.2536  3 Pm 2.94-3.02, 2 Nd 2.96
11 Se 0.9134 0.5835 0.7509  3 Pm 2.95-3.00, 2 Nd 2.98-2.99



Record 5
DFT (PBE-GGA) results for a relaxed structure of Pm2NdSe4.

## Properties
As for the space group: C2/m, No. 12. As for the density of states at the Fermi level: 0.389 states/eV per atom. The calculation puts the uncorrected energy at -5.86 eV/atom. The uncorrected formation energy comes out at -176.79 kJ/mol of atoms. As for the relative energy among the computed polymorphs: 32 meV/atom.

Lattice parameters (Å, degrees): 8.0370 8.0370 7.3883 115.19 115.19 30.54
With the nearest neighbours (Å) after each atom.
Positions (direct):
1 Pm 0.2304 0.2304 0.2225  6 Se 2.91-3.02
2 Pm 0.7696 0.7696 0.7775  6 Se 2.91-3.02
3 Nd 0.5000 0.5000 0.5000  6 Se 2.97-3.01
4 Se 0.1386 0.1386 0.5007  3 Pm 2.97-3.02, 2 Nd 3.01
5 Se 0.3751 0.3751 0.0587  3 Pm 2.91-2.98, 1 Nd 2.97
6 Se 0.6249 0.6249 0.9413  3 Pm 2.91-2.98, 1 Nd 2.97
7 Se 0.8614 0.8614 0.4993  3 Pm 2.97-3.02, 2 Nd 3.01



Record 6
DFT (PBE-GGA) results for a relaxed structure of PmNd4Se4.

## Properties
As for the space group: I4/m, No. 87. As for the density of states at the Fermi level: 0.671 states/eV per atom. The calculation puts the uncorrected energy at -5.79 eV/atom. The uncorrected formation energy comes out at -153.96 kJ/mol of atoms.

Lattice parameters (Å, degrees): 7.2434 7.2434 7.2434 99.72 99.72 131.49
With the nearest neighbours (Å) after each atom.
Positions (direct):
1 Pm 0.0000 0.0000 0.0000  4 Se 2.95
2 Nd 0.2001 0.6021 0.8023  5 Se 2.93-2.98
3 Nd 0.3979 0.2001 0.5980  5 Se 2.93-2.98
4 Nd 0.6021 0.7999 0.4020  5 Se 2.93-2.98
5 Nd 0.7999 0.3979 0.1977  5 Se 2.93-2.98
6 Se 0.0977 0.3002 0.3979  5 Nd 2.93-2.98, 1 Pm 2.95
7 Se 0.3002 0.9023 0.2025  5 Nd 2.93-2.98, 1 Pm 2.95
8 Se 0.6998 0.0977 0.7975  5 Nd 2.93-2.98, 1 Pm 2.95
9 Se 0.9023 0.6998 0.6021  5 Nd 2.93-2.98, 1 Pm 2.95



Record 7
DFT (PBE-GGA) results for a relaxed structure of PmNd4Se7.

## Properties
As for the space group: Cm, No. 8. As for the density of states at the Fermi level: 0.130 states/eV per atom. The calculation puts the uncorrected energy at -5.90 eV/atom. The uncorrected formation energy comes out at -181.50 kJ/mol of atoms.

Lattice parameters (Å, degrees): 7.2425 7.2425 12.5171 104.12 104.12 32.95
With the nearest neighbours (Å) after each atom.
Positions (direct):
1 Pm 0.0000 0.0000 0.0000  6 Se 2.89-3.04
2 Nd 0.1130 0.1130 0.4213  6 Se 2.90-2.98
3 Nd 0.2252 0.2252 0.8442  6 Se 2.90-3.05
4 Nd 0.4135 0.4135 0.6118  7 Se 2.97-3.19
5 Nd 0.8128 0.8128 0.2325  7 Se 2.97-3.18
6 Se 0.0721 0.0721 0.6374  4 Nd 2.90-2.97
7 Se 0.1536 0.1536 0.2049  1 Pm 2.89, 3 Nd 2.90-2.97
8 Se 0.3735 0.3735 0.0711  2 Pm 2.98, 3 Nd 3.05-3.14
9 Se 0.4526 0.4526 0.3717  5 Nd 2.98-3.19
10 Se 0.6113 0.6113 0.9218  2 Pm 2.89, 2 Nd 2.91
11 Se 0.7734 0.7734 0.4722  5 Nd 2.98-3.18
12 Se 0.8539 0.8539 0.7735  4 Nd 3.00-3.14, 1 Pm 3.04



Record 8
DFT (PBE-GGA) results for a relaxed structure of Pm2NdSe4.

## Properties
As for the space group: Cmcm, No. 63. As for the density of states at the Fermi level: 0.300 states/eV per atom. The calculation puts the uncorrected energy at -5.89 eV/atom. The uncorrected formation energy comes out at -179.85 kJ/mol of atoms. As for the relative energy among the computed polymorphs: 0 meV/atom.

Lattice parameters (Å, degrees): 7.2383 7.2383 14.1138 90.00 90.00 147.18
With the nearest neighbours (Å) after each atom.
Positions (direct):
1 Pm 0.1301 0.8699 0.5695  6 Se 2.90-3.01
2 Pm 0.1301 0.8699 0.9305  6 Se 2.90-3.01
3 Pm 0.8699 0.1301 0.0695  6 Se 2.90-3.01
4 Pm 0.8699 0.1301 0.4305  6 Se 2.90-3.01
5 Nd 0.3742 0.6258 0.7500  6 Se 2.98-3.04
6 Nd 0.6258 0.3742 0.2500  6 Se 2.98-3.04
7 Se 0.0298 0.9702 0.7500  2 Pm 2.90, 2 Nd 2.98
8 Se 0.2235 0.7765 0.1226  3 Pm 2.98-3.01, 2 Nd 3.04
9 Se 0.2235 0.7765 0.3774  3 Pm 2.98-3.01, 2 Nd 3.04
10 Se 0.5000 0.5000 0.0000  4 Pm 2.90
11 Se 0.5000 0.5000 0.5000  4 Pm 2.90
12 Se 0.7765 0.2235 0.6226  3 Pm 2.98-3.01, 2 Nd 3.04
13 Se 0.7765 0.2235 0.8774  3 Pm 2.98-3.01, 2 Nd 3.04
14 Se 0.9702 0.0298 0.2500  2 Pm 2.90, 2 Nd 2.98



Record 9
DFT (PBE-GGA) results for a relaxed structure of Pm2NdSe3.

## Properties
As for the space group: Immm, No. 71. As for the density of states at the Fermi level: 0.440 states/eV per atom. The calculation puts the uncorrected energy at -5.95 eV/atom. The uncorrected formation energy comes out at -176.99 kJ/mol of atoms. As for the relative energy among the computed polymorphs: 0 meV/atom.

Lattice parameters (Å, degrees): 7.2795 7.2795 7.2795 146.28 131.84 60.08
With the nearest neighbours (Å) after each atom.
Positions (direct):
1 Pm 0.1655 0.1655 0.0000  6 Se 2.97
2 Pm 0.8345 0.8345 0.0000  6 Se 2.97
3 Nd 0.5000 0.5000 0.0000  6 Se 2.97-2.99
4 Se 0.0000 0.5000 0.5000  4 Pm 2.97, 2 Nd 2.97
5 Se 0.3315 0.8315 0.5000  4 Pm 2.97, 2 Nd 2.99
6 Se 0.6685 0.1685 0.5000  4 Pm 2.97, 2 Nd 2.99



Record 10
DFT (PBE-GGA) results for a relaxed structure of Pm3Nd2Se8.

## Properties
As for the space group: C2/m, No. 12. As for the density of states at the Fermi level: 0.547 states/eV per atom. The calculation puts the uncorrected energy at -5.68 eV/atom. The uncorrected formation energy comes out at -164.50 kJ/mol of atoms.

Lattice parameters (Å, degrees): 8.4783 8.4783 7.1879 107.13 107.13 60.24
With the nearest neighbours (Å) after each atom.
Positions (direct):
1 Pm 0.0000 0.0000 0.0000  6 Se 2.90-2.97
2 Pm 0.2625 0.7375 0.5000  6 Se 2.90-2.98
3 Pm 0.7375 0.2625 0.5000  6 Se 2.90-2.98
4 Nd 0.2608 0.2608 0.8418  6 Se 2.93-3.01
5 Nd 0.7392 0.7392 0.1582  6 Se 2.93-3.01
6 Se 0.1120 0.6409 0.0852  2 Pm 2.90-2.92, 2 Nd 3.00-3.01
7 Se 0.1178 0.1178 0.4271  3 Pm 2.97-2.98, 1 Nd 3.00
8 Se 0.3591 0.8880 0.9148  2 Pm 2.90-2.92, 2 Nd 3.00-3.01
9 Se 0.3774 0.3774 0.5821  2 Pm 2.90, 1 Nd 2.93
10 Se 0.6226 0.6226 0.4179  2 Pm 2.90, 1 Nd 2.93
11 Se 0.6409 0.1120 0.0852  2 Pm 2.90-2.92, 2 Nd 3.00-3.01
12 Se 0.8822 0.8822 0.5729  3 Pm 2.97-2.98, 1 Nd 3.00
13 Se 0.8880 0.3591 0.9148  2 Pm 2.90-2.92, 2 Nd 3.00-3.01



The highest uncorrected energy belongs to which entry? Pm2NdSe



The lowest uncorrected energy belongs to which entry? Pm3Nd2Se6